(1)
This record from Alexandria via LeMat-Bulk describes crystalline Nb2Pt3Rh3 at its relaxed geometry. The functional is PBE.

Summary:
SG = No. 47
crystal system = orthorhombic
calculated formation energy = -4.9 eV/f.u.
magnetic moment = 0.000 μB/cell

abc: 4.004 3.950 7.798
angles: 90.00 90.00 90.00
Fractional coordinates of all 8 atoms:
Nb  0.000  0.000  0.255
Nb  0.000  0.000  0.745
Rh  0.000  0.500  0.500
Pt  0.500  0.500  0.252
Rh  0.000  0.500  0.000
Rh  0.500  0.000  0.500
Pt  0.500  0.500  0.748
Pt  0.500  0.000  0.000



(2)
This record from Alexandria via LeMat-Bulk describes crystalline HfBeIrRu at its relaxed geometry. The functional is PBE.

Summary:
SG = No. 216
crystal system = cubic
calculated formation energy = -2.2 eV/f.u.
magnetic moment = 0.000 μB/cell

abc: 4.349 4.349 4.349
angles: 60.00 60.00 60.00
Fractional coordinates of all 4 atoms:
Ru  0.250  0.250  0.250
Hf  0.500  0.500  0.500
Ir  0.750  0.750  0.750
Be  0.000  0.000  0.000



(3)
This record from Alexandria via LeMat-Bulk describes crystalline ReNiRu2 at its relaxed geometry. The functional is PBE.

Summary:
SG = No. 166
crystal system = trigonal
calculated formation energy = 0.5 eV/f.u.
magnetic moment = 0.759 μB/cell

abc: 8.802 8.802 8.802
angles: 17.69 17.69 17.69
Site moments in Bohr magnetons follow the coordinates.
Fractional coordinates of all 4 atoms:
Re  0.750  0.750  0.750  -0.02
Ru  0.501  0.501  0.501  0.15
Ru  0.999  0.999  0.999  0.15
Ni  0.250  0.250  0.250  0.49



(4)
This record from Alexandria via LeMat-Bulk describes crystalline Sn2PbN2 at its relaxed geometry. The functional is PBE.

Summary:
SG = No. 2
crystal system = triclinic
magnetic moment = 0.000 μB/cell
raw formation energy = 180 meV per atom

abc: 5.663 3.650 14.293
angles: 112.11 94.69 129.85
Fractional coordinates of all 5 atoms:
N  0.936  0.918  0.525
Pb  0.000  0.000  0.000
Sn  0.689  0.390  0.137
Sn  0.311  0.610  0.863
N  0.064  0.082  0.475



(5)
This record from Alexandria via LeMat-Bulk describes crystalline KCuSe2 at its relaxed geometry. The functional is PBE.

Summary:
SG = No. 9
crystal system = monoclinic
magnetic moment = 0.000 μB/cell
raw formation energy = -543 meV per atom

abc: 5.280 6.368 6.368
angles: 96.65 102.59 102.59
Fractional coordinates of all 8 atoms:
Se  0.907  0.154  0.897
Se  0.601  0.607  0.350
Se  0.407  0.897  0.154
K  0.254  0.893  0.612
K  0.754  0.612  0.893
Cu  0.255  0.285  0.218
Cu  0.755  0.218  0.285
Se  0.101  0.350  0.607



(6)
This record from Alexandria via LeMat-Bulk describes crystalline Mg2CoRe at its relaxed geometry. The functional is PBE.

Summary:
SG = No. 139
crystal system = tetragonal
calculated formation energy = 1.7 eV/f.u.
magnetic moment = 2.325 μB/cell

abc: 5.025 5.025 5.025
angles: 135.80 135.80 64.30
Site moments in Bohr magnetons follow the coordinates.
Fractional coordinates of all 4 atoms:
Mg  0.000  0.000  0.000  -0.01
Co  0.750  0.250  0.500  1.59
Re  0.250  0.750  0.500  0.71
Mg  0.500  0.500  0.000  -0.01



(7)
This record from Alexandria via LeMat-Bulk describes crystalline MnTeMo2P at its relaxed geometry. The functional is PBE.

Summary:
SG = No. 123
crystal system = tetragonal
magnetic moment = 0.025 μB/cell
raw formation energy = 1810 meV per atom

abc: 5.018 5.018 4.747
angles: 90.00 90.00 90.00
Site moments in Bohr magnetons follow the coordinates.
Fractional coordinates of all 5 atoms:
Mo  0.500  0.000  0.000  1.68
Mn  0.000  0.000  0.500  -3.49
P  0.500  0.500  0.500  -0.12
Mo  0.000  0.500  0.000  1.68
Te  0.000  0.000  0.000  0.01



(8)
This record from Alexandria via LeMat-Bulk describes crystalline TlCr2Hg at its relaxed geometry. The functional is PBE.

Summary:
SG = No. 119
crystal system = tetragonal
calculated formation energy = 2.7 eV/f.u.
magnetic moment = 8.423 μB/cell

abc: 5.636 5.636 5.636
angles: 137.01 137.01 62.42
Site moments in Bohr magnetons follow the coordinates.
Fractional coordinates of all 4 atoms:
Cr  0.000  0.000  0.000  3.80
Tl  0.750  0.250  0.500  -0.04
Hg  0.500  0.500  0.000  0.02
Cr  0.250  0.750  0.500  3.74



(9)
This record from Alexandria via LeMat-Bulk describes crystalline Te6MoW3Se2 at its relaxed geometry. The functional is PBE.

Summary:
SG = No. 156
crystal system = trigonal
magnetic moment = 0.000 μB/cell
raw formation energy = -212 meV per atom

abc: 3.497 3.497 29.488
angles: 90.00 90.00 120.00
Fractional coordinates of all 12 atoms:
W  0.000  0.000  0.501
Te  0.000  0.000  0.819
Se  0.333  0.667  0.946
Te  0.333  0.667  0.564
W  0.333  0.667  0.244
Mo  0.000  0.000  0.001
Te  0.333  0.667  0.439
Te  0.000  0.000  0.307
Se  0.333  0.667  0.056
W  0.333  0.667  0.756
Te  0.000  0.000  0.182
Te  0.000  0.000  0.694



(10)
This record from Alexandria via LeMat-Bulk describes crystalline YGa4Ir2Pd at its relaxed geometry. The functional is PBE.

Summary:
SG = No. 166
crystal system = trigonal
calculated formation energy = -4.5 eV/f.u.
magnetic moment = 0.000 μB/cell

abc: 4.285 4.285 8.879
angles: 76.04 76.04 60.00
Fractional coordinates of all 8 atoms:
Ir  0.236  0.236  0.292
Ga  0.870  0.870  0.389
Ir  0.764  0.764  0.708
Y  0.000  0.000  0.000
Ga  0.397  0.397  0.808
Pd  0.500  0.500  0.500
Ga  0.603  0.603  0.192
Ga  0.130  0.130  0.611



(11)
This record from Alexandria via LeMat-Bulk describes crystalline Np4Sb8Au3 at its relaxed geometry. The functional is PBE.

Summary:
SG = No. 115
crystal system = tetragonal
magnetic moment = 0.406 μB/cell
raw formation energy = -278 meV per atom

abc: 4.398 4.398 19.481
angles: 90.00 90.00 90.00
Site moments in Bohr magnetons follow the coordinates.
Fractional coordinates of all 15 atoms:
Np  0.500  0.000  0.880  -3.74
Sb  0.500  0.000  0.087  0.09
Au  0.000  0.000  0.500  -0.01
Au  0.500  0.500  0.500  -0.01
Sb  0.000  0.500  0.913  0.09
Np  0.000  0.500  0.629  3.83
Sb  0.000  0.000  0.245  0.00
Sb  0.500  0.000  0.600  -0.06
Sb  0.500  0.500  0.245  0.00
Np  0.500  0.000  0.371  3.83
Np  0.000  0.500  0.120  -3.74
Sb  0.500  0.500  0.755  0.00
Sb  0.000  0.000  0.755  0.00
Au  0.000  0.000  0.000  0.04
Sb  0.000  0.500  0.400  -0.06



(12)
This record from Alexandria via LeMat-Bulk describes crystalline Zn2Ni2Pd at its relaxed geometry. The functional is PBE.

Summary:
SG = No. 127
crystal system = tetragonal
calculated formation energy = -0.7 eV/f.u.
magnetic moment = 0.000 μB/cell

abc: 6.898 6.898 2.755
angles: 90.00 90.00 90.00
Fractional coordinates of all 10 atoms:
Zn  0.861  0.639  0.000
Ni  0.342  0.158  0.500
Ni  0.658  0.842  0.500
Pd  0.500  0.500  0.000
Zn  0.139  0.361  0.000
Zn  0.361  0.861  0.000
Pd  0.000  0.000  0.000
Ni  0.842  0.342  0.500
Ni  0.158  0.658  0.500
Zn  0.639  0.139  0.000



(13)
This record from Alexandria via LeMat-Bulk describes crystalline TiNb6In at its relaxed geometry. The functional is PBE.

Summary:
SG = No. 148
crystal system = trigonal
calculated formation energy = -0.2 eV/f.u.
magnetic moment = 0.000 μB/cell

abc: 7.486 7.487 5.298
angles: 44.98 45.00 59.98
Fractional coordinates of all 8 atoms:
Nb  0.500  0.756  0.745
Nb  0.244  0.001  0.255
Nb  0.756  0.999  0.745
In  0.500  0.500  0.500
Nb  0.001  0.501  0.254
Ti  0.000  0.000  0.000
Nb  0.500  0.244  0.255
Nb  0.999  0.499  0.746



(14)
This record from Alexandria via LeMat-Bulk describes crystalline Rb3In6Hg5 at its relaxed geometry. The functional is PBE.

Summary:
SG = No. 59
crystal system = orthorhombic
calculated formation energy = -1.6 eV/f.u.
magnetic moment = 0.000 μB/cell

abc: 5.077 12.354 14.942
angles: 90.00 90.00 90.00
Fractional coordinates of all 28 atoms:
In  0.000  0.010  0.825
In  0.000  0.983  0.500
In  0.000  0.599  0.309
Hg  0.000  0.845  0.331
In  0.000  0.599  0.691
Hg  0.000  0.513  0.882
Hg  0.000  0.513  0.118
In  0.000  0.010  0.175
Hg  0.500  0.155  0.831
In  0.500  0.495  0.000
Hg  0.500  0.487  0.382
In  0.500  0.401  0.191
Rb  0.500  0.746  0.500
Hg  0.500  0.108  0.500
Rb  0.500  0.749  0.847
Hg  0.000  0.892  0.000
Hg  0.500  0.155  0.169
In  0.500  0.017  0.000
Hg  0.500  0.487  0.618
Rb  0.500  0.749  0.153
In  0.500  0.401  0.809
Rb  0.000  0.251  0.653
Rb  0.000  0.254  0.000
In  0.500  0.990  0.675
In  0.500  0.990  0.325
Hg  0.000  0.845  0.669
Rb  0.000  0.251  0.347
In  0.000  0.505  0.500



(15)
This record from Alexandria via LeMat-Bulk describes crystalline BaAl2Hg at its relaxed geometry. The functional is PBE.

Summary:
SG = No. 6
crystal system = monoclinic
calculated formation energy = -0.4 eV/f.u.
magnetic moment = 0.000 μB/cell

abc: 4.261 3.505 7.486
angles: 76.66 90.00 90.00
Fractional coordinates of all 4 atoms:
Hg  0.500  0.915  0.799
Ba  0.000  0.557  0.506
Al  0.000  0.795  0.038
Al  0.500  0.233  0.157



(16)
This record from Alexandria via LeMat-Bulk describes crystalline Ta2ICl4 at its relaxed geometry. The functional is PBE.

Summary:
SG = No. 9
crystal system = monoclinic
magnetic moment = 0.000 μB/cell
raw formation energy = -786 meV per atom

abc: 7.005 7.005 8.812
angles: 105.86 105.86 70.72
Fractional coordinates of all 14 atoms:
Cl  0.162  0.585  0.063
Cl  0.385  0.417  0.411
Cl  0.383  0.579  0.782
Ta  0.581  0.242  0.644
Ta  0.492  0.331  0.144
Cl  0.888  0.396  0.721
Cl  0.835  0.912  0.563
Cl  0.829  0.133  0.282
Cl  0.646  0.638  0.221
Ta  0.558  0.029  0.333
Cl  0.667  0.135  0.911
I  0.230  0.065  0.047
I  0.315  0.980  0.547
Ta  0.279  0.308  0.833



(17)
This record from Alexandria via LeMat-Bulk describes crystalline Pr3Si3Pd at its relaxed geometry. The functional is PBE.

Summary:
SG = No. 44
crystal system = orthorhombic
magnetic moment = 0.341 μB/cell
raw formation energy = -779 meV per atom

abc: 4.092 4.366 9.750
angles: 102.94 102.11 90.00
Site moments in Bohr magnetons follow the coordinates.
Fractional coordinates of all 7 atoms:
Pd  0.435  0.435  0.870  0.00
Si  0.859  0.359  0.717  -0.01
Si  0.564  0.564  0.127  0.00
Pr  0.315  0.815  0.631  0.06
Si  0.141  0.641  0.281  0.00
Pr  0.684  0.184  0.368  0.07
Pr  0.002  0.002  0.004  0.01



(18)
This record from Alexandria via LeMat-Bulk describes crystalline TbPm5Sm8 at its relaxed geometry. The functional is PBE.

Summary:
SG = No. 82
crystal system = tetragonal
calculated formation energy = 3.4 eV/f.u.
magnetic moment = 0.000 μB/cell

abc: 8.579 8.579 8.579
angles: 110.96 106.54 110.96
Fractional coordinates of all 14 atoms:
Sm  0.565  0.903  0.830
Pm  0.032  0.318  0.135
Tb  0.250  0.500  0.750
Sm  0.170  0.736  0.074
Sm  0.527  0.604  0.272
Sm  0.077  0.745  0.473
Pm  0.817  0.682  0.715
Sm  0.668  0.396  0.923
Sm  0.338  0.264  0.435
Pm  0.285  0.102  0.968
Pm  0.500  0.000  0.500
Pm  0.865  0.898  0.183
Sm  0.728  0.255  0.332
Sm  0.926  0.097  0.662



(19)
This record from Alexandria via LeMat-Bulk describes crystalline Zn2RhSe at its relaxed geometry. The functional is PBE.

Summary:
SG = No. 12
crystal system = monoclinic
magnetic moment = 0.000 μB/cell
raw formation energy = -65 meV per atom

abc: 4.820 4.820 4.401
angles: 80.96 80.96 39.07
Fractional coordinates of all 4 atoms:
Zn  0.988  0.988  0.027
Rh  0.250  0.250  0.250
Zn  0.512  0.512  0.473
Se  0.750  0.750  0.750



(20)
This record from Alexandria via LeMat-Bulk describes crystalline Sm3IrRh at its relaxed geometry. The functional is PBE.

Summary:
SG = No. 6
crystal system = monoclinic
calculated formation energy = -2.5 eV/f.u.
magnetic moment = 0.000 μB/cell

abc: 3.910 8.496 8.518
angles: 68.77 89.99 89.99
Fractional coordinates of all 10 atoms:
Ir  0.863  0.194  0.247
Sm  0.864  0.990  0.683
Ir  0.363  0.694  0.746
Sm  0.363  0.334  0.387
Sm  0.363  0.054  0.106
Sm  0.862  0.759  0.450
Sm  0.862  0.630  0.043
Rh  0.362  0.694  0.246
Sm  0.864  0.398  0.810
Rh  0.364  0.194  0.746



(21)
This record from Alexandria via LeMat-Bulk describes crystalline HfPdBr3 at its relaxed geometry. The functional is PBE.

Summary:
SG = No. 221
crystal system = cubic
magnetic moment = 0.000 μB/cell
raw formation energy = -228 meV per atom

abc: 5.222 5.222 5.222
angles: 90.00 90.00 90.00
Fractional coordinates of all 5 atoms:
Br  0.000  0.500  0.000
Br  0.000  0.000  0.500
Hf  0.000  0.000  0.000
Br  0.500  0.000  0.000
Pd  0.500  0.500  0.500



(22)
This record from Alexandria via LeMat-Bulk describes crystalline Sr2IN2 at its relaxed geometry. The functional is PBE.

Summary:
SG = No. 15
crystal system = monoclinic
magnetic moment = 0.000 μB/cell
raw formation energy = -931 meV per atom

abc: 4.309 7.068 8.225
angles: 100.22 105.18 90.00
Fractional coordinates of all 10 atoms:
Sr  0.866  0.155  0.320
N  0.361  0.026  0.456
N  0.095  0.526  0.456
Sr  0.455  0.655  0.320
I  0.231  0.250  0.000
Sr  0.134  0.845  0.680
I  0.769  0.750  0.000
N  0.639  0.974  0.544
Sr  0.545  0.345  0.680
N  0.905  0.474  0.544



(23)
This record from Alexandria via LeMat-Bulk describes crystalline LiHfTl2Se4 at its relaxed geometry. The functional is PBE.

Summary:
SG = No. 10
crystal system = monoclinic
magnetic moment = 0.000 μB/cell
raw formation energy = -846 meV per atom

abc: 3.969 7.563 7.162
angles: 73.04 90.00 90.00
Fractional coordinates of all 8 atoms:
Tl  0.500  0.000  0.500
Se  0.000  0.290  0.259
Se  0.500  0.300  0.723
Li  0.500  0.500  0.000
Se  0.000  0.710  0.741
Tl  0.000  0.000  0.000
Hf  0.000  0.500  0.500
Se  0.500  0.700  0.277